1.
{"formula": "LiBeRu", "functional": "PBE-GGA", "state": "optimized geometry", "space_group": "C2/m (12)", "e_above_lowest_polymorph_ev_per_atom": 0.108, "formation_enthalpy_0k_mev_per_atom": 22, "volume_a3_per_atom": 11.376, "e_tot_ev_per_atom": -4.95, "lattice_angstrom": [[4.018, -2.037, 0.000], [4.018, 2.037, 0.000], [-2.112, 0.000, 4.169]], "species": ["Li", "Li", "Be", "Be", "Ru", "Ru"], "frac_coords": [[0.000, 0.000, 0.000], [0.000, 0.000, 0.500], [0.333, 0.333, 0.657], [0.667, 0.667, 0.343], [0.331, 0.331, 0.165], [0.669, 0.669, 0.835]]}

---

2.
{"formula": "LiBeRu2", "functional": "PBE-GGA", "state": "optimized geometry", "space_group": "C2/m (12)", "formation_enthalpy_0k_mev_per_atom": 177, "volume_a3_per_atom": 12.372, "e_tot_ev_per_atom": -5.87, "lattice_angstrom": [[2.599, -4.071, 0.000], [2.599, 4.071, 0.000], [-1.113, 0.000, 2.339]], "species": ["Li", "Be", "Ru", "Ru"], "frac_coords": [[0.000, 0.000, 0.000], [0.500, 0.500, 0.000], [0.000, 0.500, 0.500], [0.500, 0.000, 0.500]]}

---

3.
{"formula": "LiBeRu2", "functional": "PBE-GGA", "state": "optimized geometry", "space_group": "R-3m (166)", "formation_enthalpy_0k_mev_per_atom": 52, "volume_a3_per_atom": 12.669, "e_tot_ev_per_atom": -6.00, "lattice_angstrom": [[1.327, 0.766, 8.304], [-1.327, 0.766, 8.304], [0.000, -1.533, 8.304]], "species": ["Li", "Be", "Ru", "Ru"], "frac_coords": [[0.000, 0.000, 0.000], [0.500, 0.500, 0.500], [0.242, 0.242, 0.242], [0.758, 0.758, 0.758]]}

---

4.
{"formula": "LiBeRu2", "functional": "PBE-GGA", "state": "optimized geometry", "space_group": "P4/mmm (123)", "formation_enthalpy_0k_mev_per_atom": 239, "volume_a3_per_atom": 12.137, "e_tot_ev_per_atom": -5.81, "lattice_angstrom": [[3.632, 0.000, 0.000], [0.000, 3.632, 0.000], [0.000, 0.000, 3.680]], "species": ["Li", "Be", "Ru", "Ru"], "frac_coords": [[0.000, 0.000, 0.000], [0.500, 0.500, 0.000], [0.000, 0.500, 0.500], [0.500, 0.000, 0.500]]}

---

5.
{"formula": "LiBeRu", "functional": "PBE-GGA", "state": "optimized geometry", "space_group": "Fmm2 (42)", "e_above_lowest_polymorph_ev_per_atom": 0.266, "formation_enthalpy_0k_mev_per_atom": 180, "volume_a3_per_atom": 12.731, "e_tot_ev_per_atom": -4.79, "lattice_angstrom": [[0.000, 2.164, 6.225], [1.418, 0.000, 6.225], [1.418, 2.164, 0.000]], "species": ["Li", "Be", "Ru"], "frac_coords": [[0.000, 0.000, 0.000], [0.677, 0.677, 0.323], [0.321, 0.321, 0.679]]}

---

6.
{"formula": "LiBeRu", "functional": "PBE-GGA", "state": "optimized geometry", "space_group": "P6_3/mmc (194)", "e_above_lowest_polymorph_ev_per_atom": 0.062, "formation_enthalpy_0k_mev_per_atom": -24, "volume_a3_per_atom": 10.956, "e_tot_ev_per_atom": -5.00, "lattice_angstrom": [[4.064, 0.000, 0.000], [-2.032, 3.520, 0.000], [0.000, 0.000, 4.595]], "species": ["Li", "Li", "Be", "Be", "Ru", "Ru"], "frac_coords": [[0.000, 0.000, 0.000], [0.000, 0.000, 0.500], [0.333, 0.667, 0.250], [0.667, 0.333, 0.750], [0.333, 0.667, 0.750], [0.667, 0.333, 0.250]]}

---

7.
{"formula": "LiBeRu2", "functional": "PBE-GGA", "state": "optimized geometry", "space_group": "Cmmm (65)", "formation_enthalpy_0k_mev_per_atom": 107, "volume_a3_per_atom": 12.725, "e_tot_ev_per_atom": -5.94, "lattice_angstrom": [[1.372, -2.218, 0.000], [1.372, 2.218, 0.000], [0.000, 0.000, 8.362]], "species": ["Li", "Be", "Ru", "Ru"], "frac_coords": [[0.000, 0.000, 0.000], [0.000, 0.000, 0.500], [0.500, 0.500, 0.273], [0.500, 0.500, 0.727]]}

---

8.
{"formula": "LiBeRu2", "functional": "PBE-GGA", "state": "optimized geometry", "space_group": "P4mm (99)", "formation_enthalpy_0k_mev_per_atom": 32, "volume_a3_per_atom": 12.335, "e_tot_ev_per_atom": -6.02, "lattice_angstrom": [[2.788, 0.000, 0.000], [0.000, 2.788, 0.000], [0.000, 0.000, 6.346]], "species": ["Li", "Be", "Ru", "Ru"], "frac_coords": [[0.000, 0.000, 0.000], [0.500, 0.500, 0.766], [0.000, 0.000, 0.550], [0.500, 0.500, 0.286]]}

---

9.
{"formula": "LiBe2Ru2", "functional": "PBE-GGA", "state": "optimized geometry", "space_group": "P4/mbm (127)", "e_above_lowest_polymorph_ev_per_atom": 0.000, "formation_enthalpy_0k_mev_per_atom": -198, "volume_a3_per_atom": 10.731, "e_tot_ev_per_atom": -5.78, "lattice_angstrom": [[5.873, 0.000, 0.000], [0.000, 5.873, 0.000], [0.000, 0.000, 3.111]], "species": ["Li", "Li", "Be", "Be", "Be", "Be", "Ru", "Ru", "Ru", "Ru"], "frac_coords": [[0.000, 0.000, 0.000], [0.500, 0.500, 0.000], [0.125, 0.375, 0.000], [0.375, 0.875, 0.000], [0.625, 0.125, 0.000], [0.875, 0.625, 0.000], [0.172, 0.672, 0.500], [0.328, 0.172, 0.500], [0.672, 0.828, 0.500], [0.828, 0.328, 0.500]]}

---

10.
{"formula": "Li2BeRu2", "functional": "PBE-GGA", "state": "optimized geometry", "space_group": "P4/mbm (127)", "formation_enthalpy_0k_mev_per_atom": 313, "volume_a3_per_atom": 14.295, "e_tot_ev_per_atom": -4.91, "lattice_angstrom": [[5.672, 0.000, 0.000], [0.000, 5.672, 0.000], [0.000, 0.000, 4.444]], "species": ["Li", "Li", "Li", "Li", "Be", "Be", "Ru", "Ru", "Ru", "Ru"], "frac_coords": [[0.166, 0.334, 0.000], [0.334, 0.834, 0.000], [0.666, 0.166, 0.000], [0.834, 0.666, 0.000], [0.000, 0.000, 0.500], [0.500, 0.500, 0.500], [0.149, 0.649, 0.500], [0.351, 0.149, 0.500], [0.649, 0.851, 0.500], [0.851, 0.351, 0.500]]}

---

11.
{"formula": "LiBeRu2", "functional": "PBE-GGA", "state": "optimized geometry", "space_group": "P4/mmm (123)", "formation_enthalpy_0k_mev_per_atom": 117, "volume_a3_per_atom": 12.335, "e_tot_ev_per_atom": -5.93, "lattice_angstrom": [[2.757, 0.000, 0.000], [0.000, 2.757, 0.000], [0.000, 0.000, 6.489]], "species": ["Li", "Be", "Ru", "Ru"], "frac_coords": [[0.000, 0.000, 0.000], [0.000, 0.000, 0.500], [0.500, 0.500, 0.297], [0.500, 0.500, 0.703]]}

---

12.
{"formula": "LiBeRu", "functional": "PBE-GGA", "state": "optimized geometry", "space_group": "F-43m (216)", "e_above_lowest_polymorph_ev_per_atom": 0.500, "formation_enthalpy_0k_mev_per_atom": 414, "volume_a3_per_atom": 12.331, "e_tot_ev_per_atom": -4.56, "lattice_angstrom": [[0.000, 2.645, 2.645], [2.645, 0.000, 2.645], [2.645, 2.645, 0.000]], "species": ["Li", "Be", "Ru"], "frac_coords": [[0.000, 0.000, 0.000], [0.750, 0.750, 0.750], [0.500, 0.500, 0.500]]}

---

13.
{"formula": "LiBeRu", "functional": "PBE-GGA", "state": "optimized geometry", "space_group": "I4mm (107)", "e_above_lowest_polymorph_ev_per_atom": 0.177, "formation_enthalpy_0k_mev_per_atom": 91, "volume_a3_per_atom": 12.128, "e_tot_ev_per_atom": -4.88, "lattice_angstrom": [[-1.425, 1.425, 4.482], [1.425, -1.425, 4.482], [1.425, 1.425, -4.482]], "species": ["Li", "Be", "Ru"], "frac_coords": [[0.000, 0.000, 0.000], [0.318, 0.318, 0.000], [0.700, 0.700, 0.000]]}

---

14.
{"formula": "LiBeRu", "functional": "PBE-GGA", "state": "optimized geometry", "space_group": "Fmmm (69)", "e_above_lowest_polymorph_ev_per_atom": 0.000, "formation_enthalpy_0k_mev_per_atom": -86, "volume_a3_per_atom": 11.601, "e_tot_ev_per_atom": -5.06, "lattice_angstrom": [[0.000, 3.697, 3.990], [2.359, 0.000, 3.990], [2.359, 3.697, 0.000]], "species": ["Li", "Li", "Be", "Be", "Ru", "Ru"], "frac_coords": [[0.156, 0.844, 0.156], [0.844, 0.156, 0.844], [0.250, 0.250, 0.250], [0.750, 0.750, 0.750], [0.348, 0.348, 0.652], [0.652, 0.652, 0.348]]}

---

15.
{"formula": "Li3BeRu", "functional": "PBE-GGA", "state": "optimized geometry", "space_group": "Pm-3m (221)", "e_above_lowest_polymorph_ev_per_atom": 0.247, "formation_enthalpy_0k_mev_per_atom": 1196, "volume_a3_per_atom": 19.044, "e_tot_ev_per_atom": -2.55, "lattice_angstrom": [[4.566, 0.000, 0.000], [0.000, 4.566, 0.000], [0.000, 0.000, 4.566]], "species": ["Li", "Li", "Li", "Be", "Ru"], "frac_coords": [[0.000, 0.000, 0.500], [0.000, 0.500, 0.000], [0.500, 0.000, 0.000], [0.500, 0.500, 0.500], [0.000, 0.000, 0.000]]}

---

16.
{"formula": "LiBeRu", "functional": "PBE-GGA", "state": "optimized geometry", "space_group": "Imm2 (44)", "e_above_lowest_polymorph_ev_per_atom": 0.182, "formation_enthalpy_0k_mev_per_atom": 96, "volume_a3_per_atom": 11.538, "e_tot_ev_per_atom": -4.88, "lattice_angstrom": [[-1.227, 1.856, 3.800], [1.227, -1.856, 3.800], [1.227, 1.856, -3.800]], "species": ["Li", "Be", "Ru"], "frac_coords": [[0.000, 0.000, 0.000], [0.330, 0.330, 0.000], [0.679, 0.679, 0.000]]}

---

17.
{"formula": "LiBeRu", "functional": "PBE-GGA", "state": "optimized geometry", "space_group": "Amm2 (38)", "e_above_lowest_polymorph_ev_per_atom": 0.085, "formation_enthalpy_0k_mev_per_atom": -2, "volume_a3_per_atom": 11.280, "e_tot_ev_per_atom": -4.97, "lattice_angstrom": [[4.033, 0.000, 0.000], [0.000, 1.450, 5.784], [0.000, -1.450, 5.784]], "species": ["Li", "Li", "Be", "Be", "Ru", "Ru"], "frac_coords": [[0.000, 0.000, 0.000], [0.000, 0.327, 0.327], [0.000, 0.656, 0.656], [0.500, 0.831, 0.831], [0.500, 0.175, 0.175], [0.500, 0.486, 0.486]]}

---

18.
{"formula": "LiBe4Ru", "functional": "PBE-GGA", "state": "optimized geometry", "space_group": "F-43m (216)", "formation_enthalpy_0k_mev_per_atom": -132, "volume_a3_per_atom": 9.453, "e_tot_ev_per_atom": -4.48, "lattice_angstrom": [[0.000, 3.050, 3.050], [3.050, 0.000, 3.050], [3.050, 3.050, 0.000]], "species": ["Li", "Be", "Be", "Be", "Be", "Ru"], "frac_coords": [[0.000, 0.000, 0.000], [0.377, 0.377, 0.377], [0.377, 0.377, 0.870], [0.377, 0.870, 0.377], [0.870, 0.377, 0.377], [0.750, 0.750, 0.750]]}

---

19.
{"formula": "LiBeRu2", "functional": "PBE-GGA", "state": "optimized geometry", "space_group": "P2/m (10)", "formation_enthalpy_0k_mev_per_atom": 156, "volume_a3_per_atom": 12.383, "e_tot_ev_per_atom": -5.89, "lattice_angstrom": [[2.596, 0.000, 0.000], [0.000, 4.049, 0.000], [-0.467, 0.000, 4.711]], "species": ["Li", "Be", "Ru", "Ru"], "frac_coords": [[0.000, 0.000, 0.000], [0.500, 0.000, 0.500], [0.275, 0.500, 0.742], [0.725, 0.500, 0.258]]}

---

20.
{"formula": "LiBe2Ru2", "functional": "PBE-GGA", "state": "optimized geometry", "space_group": "P4/mbm (127)", "e_above_lowest_polymorph_ev_per_atom": 0.274, "formation_enthalpy_0k_mev_per_atom": 75, "volume_a3_per_atom": 12.257, "e_tot_ev_per_atom": -5.51, "lattice_angstrom": [[6.903, 0.000, 0.000], [0.000, 6.903, 0.000], [0.000, 0.000, 2.572]], "species": ["Li", "Li", "Be", "Be", "Be", "Be", "Ru", "Ru", "Ru", "Ru"], "frac_coords": [[0.000, 0.000, 0.000], [0.500, 0.500, 0.000], [0.161, 0.339, 0.500], [0.339, 0.839, 0.500], [0.661, 0.161, 0.500], [0.839, 0.661, 0.500], [0.134, 0.634, 0.000], [0.366, 0.134, 0.000], [0.634, 0.866, 0.000], [0.866, 0.366, 0.000]]}